Entry 1:
Nd6BiBr8: optimized geometry, PBE.

abc: 11.594 11.594 11.594
angles: 37.29 37.29 37.29
Positions (direct):
Nd1 0.097 0.447 0.798
Nd2 0.202 0.903 0.553
Nd3 0.447 0.798 0.097
Nd4 0.553 0.202 0.903
Nd5 0.798 0.097 0.447
Nd6 0.903 0.553 0.202
Bi1 0.500 0.500 0.500
Br1 0.070 0.713 0.391
Br2 0.167 0.167 0.167
Br3 0.287 0.609 0.930
Br4 0.391 0.070 0.713
Br5 0.609 0.930 0.287
Br6 0.713 0.391 0.070
Br7 0.833 0.833 0.833
Br8 0.930 0.287 0.609

Calculated values
Total magnetization, μB per atom: 0.000
ΔE_f (raw), eV per atom: -1.3964
Raw total energy, eV per atom: -4.4544
Space-group type: No. 148
N(E_F), states/eV/f.u.: 4.1

Entry 2:
Nd6Bi5Br: optimized geometry, PBE.

abc: 7.942 7.942 7.929
angles: 99.59 99.59 120.02
Positions (direct):
Nd1 0.074 0.415 0.746
Nd2 0.244 0.244 0.255
Nd3 0.415 0.074 0.746
Nd4 0.585 0.926 0.254
Nd5 0.756 0.756 0.745
Nd6 0.926 0.585 0.254
Bi1 0.000 0.000 0.500
Bi2 0.167 0.833 0.000
Bi3 0.335 0.665 0.500
Bi4 0.665 0.335 0.500
Bi5 0.833 0.167 0.000
Br1 0.500 0.500 0.000

Calculated values
Total magnetization, μB per atom: 0.000
ΔE_f (raw), eV per atom: -1.0013
Raw total energy, eV per atom: -5.1417
Space-group type: No. 12
N(E_F), states/eV/f.u.: 3.1

Entry 3:
Nd2BiBr2: optimized geometry, PBE.

abc: 11.189 11.189 11.189
angles: 22.85 22.85 22.85
Positions (direct):
Nd1 0.110 0.110 0.110
Nd2 0.890 0.890 0.890
Bi1 0.500 0.500 0.500
Br1 0.276 0.276 0.276
Br2 0.724 0.724 0.724

Calculated values
Total magnetization, μB per atom: 0.000
ΔE_f (raw), eV per atom: -1.3947
Raw total energy, eV per atom: -4.7471
Space-group type: No. 166
N(E_F), states/eV/f.u.: 2.1

Entry 4:
PmNdBiBr: optimized geometry, PBE.

abc: 5.466 5.466 5.466
angles: 60.00 60.00 60.00
Positions (direct):
Pm1 0.000 0.000 0.000
Nd1 0.500 0.500 0.500
Bi1 0.750 0.750 0.750
Br1 0.250 0.250 0.250

Calculated values
Total magnetization, μB per atom: 0.005
ΔE_f (raw), eV per atom: -0.9722
Raw total energy, eV per atom: -4.7402
Space-group type: No. 216
N(E_F), states/eV/f.u.: 3.2

Entry 5:
PrNdBiBr: optimized geometry, PBE.

abc: 5.501 5.501 5.501
angles: 60.00 60.00 60.00
Positions (direct):
Pr1 0.000 0.000 0.000
Nd1 0.500 0.500 0.500
Bi1 0.750 0.750 0.750
Br1 0.250 0.250 0.250

Calculated values
Total magnetization, μB per atom: 0.005
ΔE_f (raw), eV per atom: -0.9956
Raw total energy, eV per atom: -4.7709
Space-group type: No. 216
N(E_F), states/eV/f.u.: 3.2

Entry 6:
NdSmBiBr: optimized geometry, PBE.

abc: 5.454 5.454 5.454
angles: 60.00 60.00 60.00
Positions (direct):
Nd1 0.000 0.000 0.000
Sm1 0.500 0.500 0.500
Bi1 0.250 0.250 0.250
Br1 0.750 0.750 0.750

Calculated values
Total magnetization, μB per atom: 0.007
ΔE_f (raw), eV per atom: -0.9579
Raw total energy, eV per atom: -4.7181
Space-group type: No. 216
N(E_F), states/eV/f.u.: 3.2

Question: total magnetization of number 6 (NdSmBiBr)?
Answer: 0.007 μB per atom

Question: Which value of raw total energy does entry 6 give?
Answer: -4.7181 eV per atom